A relaxed structure of Ti2VTc4. Source: Alexandria, functional PBE.

The space group is I4/mmm (No. 139) and the conventional cell measures 4.410, 4.410 and 12.582 Å, with angles of 90.00, 90.00 and 90.00 degrees. The asymmetric unit holds Ti at (0.000, 0.000, 0.131), V at (0.000, 0.000, 0.500), Tc at (0.000, 0.000, 0.317) and Tc at (0.000, 0.500, 0.000).

For the raw total energy, the calculation gives -8.78 eV per atom. For the total magnetic moment, the calculation gives 0.0 Bohr magnetons per cell. The value obtained for the formation energy is 476 kJ/mol of formula units.

A relaxed structure of TiV3Tc. Source: Alexandria, functional PBE.

The space group is C2/m (No. 12) and the conventional cell measures 15.467, 2.978 and 6.904 Å, with angles of 90.00, 109.90 and 90.00 degrees. The asymmetric unit holds Ti at (0.118, 0.000, 0.160), V at (0.054, 0.000, 0.721), V at (0.189, 0.500, 0.904), V at (0.228, 0.000, 0.628) and Tc at (0.089, 0.500, 0.450).

For the raw total energy, the calculation gives -9.14 eV per atom. For the total magnetic moment, the calculation gives 0.0 Bohr magnetons per cell. The value obtained for the formation energy is -9 kJ/mol of formula units.

A relaxed structure of Ti2V2Tc. Source: Alexandria, functional PBE.

The space group is I4/mmm (No. 139) and the conventional cell measures 3.127, 3.127 and 15.234 Å, with angles of 90.00, 90.00 and 90.00 degrees. The asymmetric unit holds Ti at (0.000, 0.000, 0.098), V at (0.000, 0.000, 0.288) and Tc at (0.000, 0.000, 0.500).

For the raw total energy, the calculation gives -9.08 eV per atom. For the total magnetic moment, the calculation gives 0.0 Bohr magnetons per cell. The value obtained for the formation energy is -99 kJ/mol of formula units.

A relaxed structure of TiVTc2. Source: Alexandria, functional PBE.

The space group is P4/mmm (No. 123) and the conventional cell measures 3.061, 3.061 and 6.146 Å, with angles of 90.00, 90.00 and 90.00 degrees. The asymmetric unit holds Ti at (0.000, 0.000, 0.000), V at (0.000, 0.000, 0.500) and Tc at (0.500, 0.500, 0.258).

For the raw total energy, the calculation gives -9.89 eV per atom. For the total magnetic moment, the calculation gives 0.0 Bohr magnetons per cell. The value obtained for the formation energy is -174 kJ/mol of formula units.